Entry 1:
A relaxed structure of KBe4Sn3O12. Source: Alexandria via LeMat-Bulk, functional PBE.

As for the electronic total energy: -365.54 eV/cell. The formation energy from raw total energies comes out at -1717 meV/atom. The total moment comes out at 0.15 μB per atom.

It has space group R32 (No. 155, hexagonal axes), with a = 10.3936 Å, b = 10.3936 Å, c = 7.9699 Å, α = 90.00°, β = 90.00° and γ = 120.00°. The asymmetric unit holds K at (0.0000, 0.0000, 0.0000), Be at (0.0000, 0.0000, 0.5000), Be at (0.0000, 0.4467, 0.5000), Sn at (0.0000, 0.5584, 0.0000), O at (0.0000, 0.5945, 0.5000), O at (0.0000, 0.8496, 0.5000) and O at (0.0391, 0.2341, 0.1866).


Entry 2:
A relaxed structure of K3TaBe2O6. Source: Alexandria via LeMat-Bulk, functional PBE.

As for the electronic total energy: -80.47 eV/cell. The formation energy from raw total energies comes out at -2344 meV/atom. The total moment comes out at 0.00 μB per atom.

It has space group P-3m1 (No. 164), with a = 5.5074 Å, b = 5.5074 Å, c = 6.8136 Å, α = 90.00°, β = 90.00° and γ = 120.00°. The asymmetric unit holds K at (0.0000, 0.0000, 0.0000), K at (0.3333, 0.6667, 0.7347), Ta at (0.0000, 0.0000, 0.5000), Be at (0.3333, 0.6667, 0.3204) and O at (0.1707, 0.3414, 0.3247).


Entry 3:
A relaxed structure of K2TaBeO4. Source: Alexandria via LeMat-Bulk, functional PBE.

As for the electronic total energy: -109.90 eV/cell. The formation energy from raw total energies comes out at -2168 meV/atom. The total moment comes out at 0.12 μB per atom.

It has space group I-4 (No. 82), with a = 5.8459 Å, b = 5.8459 Å, c = 7.1120 Å, α = 90.00°, β = 90.00° and γ = 90.00°. The asymmetric unit holds K at (0.0000, 0.0000, 0.0000), K at (0.0000, 0.5000, 0.2500), Ta at (0.0000, 0.5000, 0.7500), Be at (0.0000, 0.0000, 0.5000) and O at (0.0917, 0.2122, 0.6411).


Entry 4:
A relaxed structure of K2TbBe2O4. Source: Alexandria via LeMat-Bulk, functional PBE.

As for the electronic total energy: -108.60 eV/cell. The formation energy from raw total energies comes out at -2243 meV/atom. The total moment comes out at 0.00 μB per atom.

It has space group C2/m (No. 12), with a = 12.1919 Å, b = 3.3628 Å, c = 9.2516 Å, α = 90.00°, β = 101.72° and γ = 90.00°. The asymmetric unit holds K at (0.1548, 0.0000, 0.1842), Tb at (0.0000, 0.0000, 0.5000), Be at (0.1853, 0.5000, 0.4774), O at (0.0658, 0.5000, 0.3775) and O at (0.1970, 0.0000, 0.5701).


Entry 5:
A relaxed structure of K2Be2TcO6. Source: Alexandria via LeMat-Bulk, functional PBE.

As for the electronic total energy: -69.90 eV/cell. The formation energy from raw total energies comes out at -1830 meV/atom. The total moment comes out at 0.09 μB per atom.

It has space group P-3m1 (No. 164), with a = 5.3717 Å, b = 5.3717 Å, c = 6.3776 Å, α = 90.00°, β = 90.00° and γ = 120.00°. The asymmetric unit holds K at (0.3333, 0.6667, 0.3138), Be at (0.3333, 0.6667, 0.8335), Tc at (0.0000, 0.0000, 0.0000) and O at (0.1691, 0.3382, 0.8237).


Entry 6:
A relaxed structure of K2BeTeO. Source: Alexandria via LeMat-Bulk, functional PBE.

As for the electronic total energy: -13.50 eV/cell. The formation energy from raw total energies comes out at 104 meV/atom. The total moment comes out at 0.00 μB per atom.

It has space group P4/mmm (No. 123), with a = 6.2603 Å, b = 6.2603 Å, c = 4.4368 Å, α = 90.00°, β = 90.00° and γ = 90.00°. The asymmetric unit holds K at (0.0000, 0.5000, 0.0000), Be at (0.0000, 0.0000, 0.0000), Te at (0.0000, 0.0000, 0.5000) and O at (0.5000, 0.5000, 0.5000).


Entry 7:
A relaxed structure of KBeTeO4. Source: Alexandria via LeMat-Bulk, functional PBE.

As for the electronic total energy: -77.04 eV/cell. The formation energy from raw total energies comes out at -1532 meV/atom. The total moment comes out at 0.13 μB per atom.

It has space group I-4 (No. 82), with a = 5.5350 Å, b = 5.5350 Å, c = 7.6972 Å, α = 90.00°, β = 90.00° and γ = 90.00°. The asymmetric unit holds K at (0.0000, 0.0000, 0.0000), Be at (0.0000, 0.5000, 0.7500), Te at (0.0000, 0.0000, 0.5000) and O at (0.1150, 0.2702, 0.6391).


Entry 8:
A relaxed structure of KBeTeO5. Source: Alexandria via LeMat-Bulk, functional PBE.

As for the electronic total energy: -173.46 eV/cell. The formation energy from raw total energies comes out at -1326 meV/atom. The total moment comes out at 0.13 μB per atom.

It has space group C2/c (No. 15), with a = 6.9531 Å, b = 9.1730 Å, c = 7.3037 Å, α = 90.00°, β = 118.04° and γ = 90.00°. The asymmetric unit holds K at (0.0000, 0.0890, 0.2500), Be at (0.0000, 0.4550, 0.2500), Te at (0.2500, 0.2500, 0.0000), O at (0.0000, 0.1785, 0.7500), O at (0.0564, 0.3318, 0.1061) and O at (0.2201, 0.4437, 0.8883).


Entry 9:
A relaxed structure of KBe2TeO6. Source: Alexandria via LeMat-Bulk, functional PBE.

As for the electronic total energy: -230.66 eV/cell. The formation energy from raw total energies comes out at -1622 meV/atom. The total moment comes out at 0.11 μB per atom.

It has space group C2/c (No. 15), with a = 8.3567 Å, b = 9.6992 Å, c = 6.7674 Å, α = 90.00°, β = 101.02° and γ = 90.00°. The asymmetric unit holds K at (0.0000, 0.0928, 0.2500), Be at (0.1808, 0.3987, 0.1778), Te at (0.0000, 0.3181, 0.7500), O at (0.0437, 0.3175, 0.0405), O at (0.1527, 0.1691, 0.7413) and O at (0.1716, 0.4520, 0.7537).


Entry 10:
A relaxed structure of KBeTe2O. Source: Alexandria via LeMat-Bulk, functional PBE.

As for the electronic total energy: -7.00 eV/cell. The formation energy from raw total energies comes out at 1813 meV/atom. The total moment comes out at 0.68 μB per atom.

It has space group P4/mmm (No. 123), with a = 6.7161 Å, b = 6.7161 Å, c = 6.4265 Å, α = 90.00°, β = 90.00° and γ = 90.00°. The asymmetric unit holds K at (0.0000, 0.0000, 0.0000), Be at (0.0000, 0.0000, 0.5000), Te at (0.0000, 0.5000, 0.0000) and O at (0.5000, 0.5000, 0.5000).


Entry 11:
A relaxed structure of KBe2Te2O6. Source: Alexandria via LeMat-Bulk, functional PBE.

As for the electronic total energy: -61.92 eV/cell. The formation energy from raw total energies comes out at -1577 meV/atom. The total moment comes out at 0.00 μB per atom.

It has space group P-1 (No. 2), with a = 4.8319 Å, b = 6.0378 Å, c = 6.4376 Å, α = 103.70°, β = 103.94° and γ = 102.74°. The asymmetric unit holds K at (0.0000, 0.0000, 0.0000), Be at (0.2866, 0.8509, 0.4912), Te at (0.3497, 0.4591, 0.7224), O at (0.0181, 0.7023, 0.2529), O at (0.2178, 0.7381, 0.6847) and O at (0.3800, 0.1460, 0.5408).


Entry 12:
A relaxed structure of KThBeO4. Source: Alexandria via LeMat-Bulk, functional PBE.

As for the electronic total energy: -100.20 eV/cell. The formation energy from raw total energies comes out at -2575 meV/atom. The total moment comes out at 0.03 μB per atom.

It has space group P2_1/m (No. 11), with a = 5.8672 Å, b = 4.6591 Å, c = 7.8226 Å, α = 90.00°, β = 101.88° and γ = 90.00°. The asymmetric unit holds K at (0.2387, 0.2500, 0.4549), Th at (0.2341, 0.2500, 0.9289), Be at (0.2622, 0.7500, 0.1848), O at (0.0673, 0.7500, 0.2985), O at (0.1246, 0.7500, 0.9716) and O at (0.4680, 0.5032, 0.1972).


Entry 13:
A relaxed structure of KTiBeO4. Source: Alexandria via LeMat-Bulk, functional PBE.

As for the electronic total energy: -96.83 eV/cell. The formation energy from raw total energies comes out at -2266 meV/atom. The total moment comes out at 0.14 μB per atom.

It has space group P2_1/m (No. 11), with a = 5.0419 Å, b = 5.3778 Å, c = 7.1474 Å, α = 90.00°, β = 109.75° and γ = 90.00°. The asymmetric unit holds K at (0.2353, 0.2500, 0.4537), Ti at (0.3232, 0.2500, 0.9635), Be at (0.2243, 0.7500, 0.1409), O at (0.0009, 0.2500, 0.0813), O at (0.0063, 0.7500, 0.2635) and O at (0.4491, 0.5236, 0.1578).


Entry 14:
A relaxed structure of KBe2TlO. Source: Alexandria via LeMat-Bulk, functional PBE.

As for the electronic total energy: -11.69 eV/cell. The formation energy from raw total energies comes out at 837 meV/atom. The total moment comes out at 0.04 μB per atom.

It has space group P4/mmm (No. 123), with a = 4.4989 Å, b = 4.4989 Å, c = 6.9993 Å, α = 90.00°, β = 90.00° and γ = 90.00°. The asymmetric unit holds K at (0.0000, 0.0000, 0.0000), Be at (0.0000, 0.5000, 0.5000), Tl at (0.0000, 0.0000, 0.5000) and O at (0.5000, 0.5000, 0.0000).


Entry 15:
A relaxed structure of KBeTlO3. Source: Alexandria via LeMat-Bulk, functional PBE.

As for the electronic total energy: -62.15 eV/cell. The formation energy from raw total energies comes out at -1502 meV/atom. The total moment comes out at 0.00 μB per atom.

It has space group P2_1/m (No. 11), with a = 7.6516 Å, b = 3.2496 Å, c = 7.6892 Å, α = 90.00°, β = 104.55° and γ = 90.00°. The asymmetric unit holds K at (0.1909, 0.2500, 0.2267), Be at (0.0761, 0.2500, 0.5920), Tl at (0.3441, 0.7500, 0.8391), O at (0.1325, 0.2500, 0.8099), O at (0.1342, 0.7500, 0.5209) and O at (0.4514, 0.7500, 0.1580).


Entry 16:
A relaxed structure of K2Be2TlO4. Source: Alexandria via LeMat-Bulk, functional PBE.

As for the electronic total energy: -92.56 eV/cell. The formation energy from raw total energies comes out at -1604 meV/atom. The total moment comes out at 0.05 μB per atom.

It has space group C2/m (No. 12), with a = 13.6062 Å, b = 3.1450 Å, c = 7.0591 Å, α = 90.00°, β = 119.94° and γ = 90.00°. The asymmetric unit holds K at (0.1234, 0.0000, 0.0544), Be at (0.1798, 0.5000, 0.4676), Tl at (0.0000, 0.0000, 0.5000), O at (0.0470, 0.5000, 0.2857) and O at (0.2219, 0.0000, 0.6095).


Entry 17:
A relaxed structure of K2BeTlO4. Source: Alexandria via LeMat-Bulk, functional PBE.

As for the electronic total energy: -296.92 eV/cell. The formation energy from raw total energies comes out at -1124 meV/atom. The total moment comes out at 0.13 μB per atom.

It has space group Fddd (No. 70, origin choice 2), with a = 5.2790 Å, b = 11.7683 Å, c = 20.9247 Å, α = 90.00°, β = 90.00° and γ = 90.00°. The asymmetric unit holds K at (0.1250, 0.1250, 0.3102), Be at (0.1250, 0.1250, 0.6250), Tl at (0.1250, 0.1250, 0.1250) and O at (0.0616, 0.2856, 0.8344).


Entry 18:
A relaxed structure of K2UBe2O6. Source: Alexandria via LeMat-Bulk, functional PBE.

As for the electronic total energy: -237.92 eV/cell. The formation energy from raw total energies comes out at -2602 meV/atom. The total moment comes out at 0.00 μB per atom.

It has space group R-3m (No. 166, hexagonal axes), with a = 5.5889 Å, b = 5.5889 Å, c = 17.7812 Å, α = 90.00°, β = 90.00° and γ = 120.00°. The asymmetric unit holds K at (0.0000, 0.0000, 0.2110), U at (0.0000, 0.0000, 0.0000), Be at (0.0000, 0.0000, 0.4039) and O at (0.0134, 0.5067, 0.2627).